Material: LiCa2Si4Ir3
Method: DFT, PBE-GGA
State: optimized geometry

The structure belongs to space group P-4m2 (No. 115); the cell edges are 4.221, 4.221 and 9.647 Å and the angles 90.00°, 90.00° and 90.00°. The distinct sites, in fractional coordinates, are Li at (0.000, 0.000, 0.000), Ca at (0.000, 0.500, 0.749), Si at (0.000, 0.000, 0.500), Si at (0.000, 0.500, 0.125), Si at (0.500, 0.500, 0.500), Ir at (0.000, 0.500, 0.372) and Ir at (0.500, 0.500, 0.000).

As for the energy relative to the elements, uncorrected: -0.74 eV/atom.

---

Material: CdAu
Method: DFT, PBE-GGA
State: optimized geometry

The structure belongs to space group P6_3/mmc (No. 194); the cell edges are 4.7520, 4.7520 and 8.6725 Å and the angles 90.00°, 90.00° and 120.00°. The distinct sites, in fractional coordinates, are Cd at (0.3333, 0.6667, 0.0804), Au at (0.0000, 0.0000, 0.2500) and Au at (0.3333, 0.6667, 0.7500).

The value obtained for the energy is -2.183 eV per atom.

---

In the order shown, the computed DOS(E_F) values come out to 0.520, 0.337 states/eV/atom.
In the order shown, the computed size of the total moment values come out to 0.0, 0.0 μB per formula unit.